LiLaTl2, relaxed, DFT PBE-GGA; SG = Immm (71); final energy = -11.4 eV/cell; E_form = 0.04 eV per atom
1.0
-1.7331 2.7780 6.0894
1.7331 -2.7780 6.0894
1.7331 2.7780 -6.0894
Li La Tl
1 1 2
Cartesian
0.0000 0.0000 0.0000
0.0000 0.0000 6.0894
0.0000 0.0000 2.6603
0.0000 0.0000 9.5185

Ho4InGaAg2, relaxed, DFT PBE-GGA; SG = R-3m (166); final energy = -33.3 eV/cell; E_form = -0.43 eV per atom
1.0
2.5816 1.4905 8.3995
-2.5816 1.4905 8.3995
0.0000 -2.9810 8.3995
Ho In Ga Ag
4 1 1 2
Cartesian
0.0000 0.0000 3.0488
0.0000 0.0000 9.3556
0.0000 0.0000 15.8427
0.0000 0.0000 22.1496
0.0000 0.0000 12.5992
0.0000 0.0000 0.0000
0.0000 0.0000 6.2092
0.0000 0.0000 18.9891

Question: What is the final energy in the second record?
Answer: -33.3 eV/cell

Question: Number 1 is which compound?
Answer: LiLaTl2

Question: What is the formula in the first record?
Answer: LiLaTl2